DFT (PBE) results for a relaxed AcNd2Ge2Pd7 crystal.

Cell: 4.2218 4.2218 14.0598 Å, 96.34 96.34 89.04°
Element x y z (fractional)
Ac  0.0000  0.0000  0.0000
Nd  0.1183  0.1183  0.3539
Nd  0.8817  0.8817  0.6461
Ge  0.4059  0.4059  0.7415
Ge  0.5941  0.5941  0.2585
Pd  0.0596  0.5584  0.1630
Pd  0.3535  0.3535  0.5634
Pd  0.4416  0.9404  0.8370
Pd  0.5000  0.5000  0.0000
Pd  0.5584  0.0596  0.1630
Pd  0.6465  0.6465  0.4366
Pd  0.9404  0.4416  0.8370

The symmetry is C2/m, No. 12. For the energy of formation, the calculation gives -0.7412 eV per atom. Its volume is 20.63 Å³ per atom.